No. 1
Here is crystalline Dy2HfMg at its relaxed geometry from Alexandria. Energies are from PBE.

The density of states at the Fermi level comes out at 1.133 states/eV per atom. The calculation puts the energy above the most stable polymorph in this dataset at 0.29 eV/f.u. As for the spin magnetization: 0.001 μB/cell. The formation energy comes out at 0.36 eV/f.u.

abc: 3.3561 3.3561 33.3045
angles: 90.00 90.00 120.00
With the nearest neighbours (Å) after each atom.
Space group R3m (No. 160, hexagonal axes)
Inequivalent atoms, fractional coordinates:
Dy  0.0000  0.0000  0.0000 (multiplicity 3)  3 Hf 3.27, 6 Dy 3.36, 3 Mg 3.51
Dy  0.0000  0.0000  0.1753 (multiplicity 3)  3 Hf 3.27, 6 Dy 3.36, 3 Mg 3.50
Hf  0.0000  0.0000  0.5876 (multiplicity 3)  6 Dy 3.27, 6 Hf 3.36
Mg  0.0000  0.0000  0.7544 (multiplicity 3)  6 Mg 3.36, 6 Dy 3.50-3.51

---

No. 2
Here is crystalline DyHfMg2 at its relaxed geometry from Alexandria. Energies are from PBE.

The density of states at the Fermi level comes out at 0.997 states/eV per atom. The calculation puts the energy above the most stable polymorph in this dataset at 0.00 eV/f.u. As for the spin magnetization: 0.000 μB/cell. The formation energy comes out at 0.38 eV/f.u.

abc: 3.6019 3.6019 7.3960
angles: 90.00 90.00 90.00
With the nearest neighbours (Å) after each atom.
Space group P4/mmm (No. 123)
Inequivalent atoms, fractional coordinates:
Dy  0.0000  0.0000  0.0000 (multiplicity 1)  8 Mg 3.24, 4 Dy 3.60
Hf  0.0000  0.0000  0.5000 (multiplicity 1)  8 Mg 3.06
Mg  0.5000  0.5000  0.2715 (multiplicity 2)  4 Hf 3.06, 4 Dy 3.24, 1 Mg 3.38

---

No. 3
Here is crystalline DyHfMg2 at its relaxed geometry from Alexandria. Energies are from PBE.

The density of states at the Fermi level comes out at 0.899 states/eV per atom. The calculation puts the energy above the most stable polymorph in this dataset at 0.08 eV/f.u. As for the spin magnetization: 0.000 μB/cell. The formation energy comes out at 0.46 eV/f.u.

abc: 7.2598 7.2598 7.2598
angles: 90.00 90.00 90.00
With the nearest neighbours (Å) after each atom.
Space group Fm-3m (No. 225)
Inequivalent atoms, fractional coordinates:
Dy  0.0000  0.0000  0.0000 (multiplicity 4)  8 Mg 3.14
Hf  0.0000  0.0000  0.5000 (multiplicity 4)  8 Mg 3.14
Mg  0.2500  0.2500  0.2500 (multiplicity 8)  4 Hf 3.14, 4 Dy 3.14

---

No. 4
Here is crystalline Dy2HfMg at its relaxed geometry from Alexandria. Energies are from PBE.

The density of states at the Fermi level comes out at 1.150 states/eV per atom. The calculation puts the energy above the most stable polymorph in this dataset at 0.00 eV/f.u. As for the spin magnetization: 0.000 μB/cell. The formation energy comes out at 0.06 eV/f.u.

abc: 3.3898 3.3898 9.3643
angles: 90.00 90.00 90.00
With the nearest neighbours (Å) after each atom.
Space group P4/mmm (No. 123)
Inequivalent atoms, fractional coordinates:
Dy  0.0000  0.0000  0.2423 (multiplicity 2)  4 Hf 3.30, 4 Dy 3.39, 4 Mg 3.40
Hf  0.5000  0.5000  0.0000 (multiplicity 1)  8 Dy 3.30, 4 Hf 3.39
Mg  0.5000  0.5000  0.5000 (multiplicity 1)  4 Mg 3.39, 8 Dy 3.40

---

No. 5
Here is crystalline DyHfMg2 at its relaxed geometry from Alexandria. Energies are from PBE.

The density of states at the Fermi level comes out at 0.821 states/eV per atom. The calculation puts the energy above the most stable polymorph in this dataset at 0.98 eV/f.u. As for the spin magnetization: 0.000 μB/cell. The formation energy comes out at 1.36 eV/f.u.

abc: 3.1198 3.1198 35.8552
angles: 90.00 90.00 120.00
With the nearest neighbours (Å) after each atom.
Space group R-3m (No. 166, hexagonal axes)
Inequivalent atoms, fractional coordinates:
Dy  0.0000  0.0000  0.0000 (multiplicity 3)  6 Dy 3.12, 6 Mg 3.43
Hf  0.0000  0.0000  0.5000 (multiplicity 3)  2 Mg 3.05, 6 Hf 3.12
Mg  0.0000  0.0000  0.4149 (multiplicity 6)  1 Hf 3.05, 6 Mg 3.12

---

No. 6
Here is crystalline Dy5HfMg4 at its relaxed geometry from Alexandria. Energies are from PBE.

The density of states at the Fermi level comes out at 1.122 states/eV per atom. As for the spin magnetization: 0.135 μB/cell. The formation energy comes out at -0.19 eV/f.u.

abc: 3.5398 3.5398 21.7119
angles: 90.00 90.00 90.00
With the nearest neighbours (Å) after each atom.
Space group P4/mmm (No. 123)
Inequivalent atoms, fractional coordinates:
Dy  0.0000  0.0000  0.0000 (multiplicity 1)  8 Mg 3.26, 4 Dy 3.54
Dy  0.0000  0.0000  0.1933 (multiplicity 2)  8 Mg 3.27-3.32, 4 Dy 3.54
Dy  0.0000  0.0000  0.4003 (multiplicity 2)  4 Hf 3.31, 4 Mg 3.40, 4 Dy 3.54
Hf  0.5000  0.5000  0.5000 (multiplicity 1)  8 Dy 3.31, 4 Hf 3.54
Mg  0.5000  0.5000  0.0965 (multiplicity 2)  8 Dy 3.26-3.27, 4 Mg 3.54
Mg  0.5000  0.5000  0.2941 (multiplicity 2)  8 Dy 3.32-3.40, 4 Mg 3.54

---

No. 7
Here is crystalline Dy2HfMg at its relaxed geometry from Alexandria. Energies are from PBE.

The density of states at the Fermi level comes out at 1.503 states/eV per atom. The calculation puts the energy above the most stable polymorph in this dataset at 1.43 eV/f.u. As for the spin magnetization: 0.003 μB/cell. The formation energy comes out at 1.50 eV/f.u.

abc: 3.2036 3.2036 36.5306
angles: 90.00 90.00 120.00
With the nearest neighbours (Å) after each atom.
Space group R-3m (No. 166, hexagonal axes)
Inequivalent atoms, fractional coordinates:
Dy  0.0000  0.0000  0.0871 (multiplicity 6)  1 Hf 3.18, 6 Dy 3.20, 3 Mg 3.44
Hf  0.0000  0.0000  0.0000 (multiplicity 3)  2 Dy 3.18, 6 Hf 3.20
Mg  0.0000  0.0000  0.5000 (multiplicity 3)  6 Mg 3.20, 6 Dy 3.44

---

No. 8
Here is crystalline Dy2Hf3MgN6 at its relaxed geometry from Alexandria. Energies are from PBE.

The density of states at the Fermi level comes out at 0.223 states/eV per atom. As for the spin magnetization: 0.000 μB/cell. The calculation puts the formation energy without anion corrections at -19.98 eV/f.u.

abc: 14.3673 3.2704 6.6044
angles: 90.00 104.17 90.00
With the nearest neighbours (Å) after each atom.
Space group C2/m (No. 12)
Inequivalent atoms, fractional coordinates:
Dy  0.1644  0.0000  0.3282 (multiplicity 4)  6 N 2.37-2.44
Hf  0.0000  0.5000  0.5000 (multiplicity 2)  6 N 2.24-2.28
Hf  0.1635  0.0000  0.8335 (multiplicity 4)  6 N 2.20-2.34
Mg  0.0000  0.5000  0.0000 (multiplicity 2)  6 N 2.35-2.37
N  0.0054  0.0000  0.7438 (multiplicity 4)  3 Hf 2.20-2.28, 2 Mg 2.37, 1 Dy 2.37
N  0.1604  0.5000  0.5961 (multiplicity 4)  3 Hf 2.24-2.26, 3 Dy 2.42-2.44
N  0.1682  0.5000  0.0665 (multiplicity 4)  3 Hf 2.24-2.34, 1 Mg 2.35, 2 Dy 2.39

---

No. 9
Here is crystalline Dy2HfMgP4 at its relaxed geometry from Alexandria. Energies are from PBE.

The density of states at the Fermi level comes out at 0.131 states/eV per atom. As for the spin magnetization: 0.000 μB/cell. The formation energy comes out at -9.81 eV/f.u.

abc: 6.6786 3.8854 6.7717
angles: 90.00 109.79 90.00
With the nearest neighbours (Å) after each atom.
Space group P2/m (No. 10)
Inequivalent atoms, fractional coordinates:
Dy  0.0000  0.0000  0.0000 (multiplicity 1)  6 P 2.82-2.84
Dy  0.0000  0.5000  0.5000 (multiplicity 1)  6 P 2.78-2.79
Hf  0.5000  0.0000  0.5000 (multiplicity 1)  6 P 2.66-2.67
Mg  0.5000  0.5000  0.0000 (multiplicity 1)  6 P 2.70-2.72
P  0.2663  0.5000  0.2608 (multiplicity 2)  2 Hf 2.67, 1 Mg 2.72, 3 Dy 2.78-2.82
P  0.2672  0.0000  0.7502 (multiplicity 2)  1 Hf 2.66, 2 Mg 2.70, 3 Dy 2.79-2.84

---

No. 10
Here is crystalline TbDyHfMg at its relaxed geometry from Alexandria. Energies are from PBE.

The density of states at the Fermi level comes out at 1.673 states/eV per atom. As for the spin magnetization: 5.362 μB/cell. The formation energy comes out at 0.73 eV/f.u.

abc: 7.5145 7.5145 7.5145
angles: 90.00 90.00 90.00
With the nearest neighbours (Å) after each atom.
Space group F-43m (No. 216)
Inequivalent atoms, fractional coordinates:
Tb  0.0000  0.0000  0.0000 (multiplicity 4)  4 Hf 3.25, 4 Mg 3.25
Dy  0.0000  0.0000  0.5000 (multiplicity 4)  4 Hf 3.25, 4 Mg 3.25
Hf  0.2500  0.2500  0.7500 (multiplicity 4)  4 Tb 3.25, 4 Dy 3.25
Mg  0.2500  0.2500  0.2500 (multiplicity 4)  4 Tb 3.25, 4 Dy 3.25

---

No. 11
Here is crystalline DyHfMgTc at its relaxed geometry from Alexandria. Energies are from PBE.

The density of states at the Fermi level comes out at 0.868 states/eV per atom. As for the spin magnetization: 0.000 μB/cell. The formation energy comes out at -0.16 eV/f.u.

abc: 6.9003 6.9003 6.9003
angles: 90.00 90.00 90.00
With the nearest neighbours (Å) after each atom.
Space group F-43m (No. 216)
Inequivalent atoms, fractional coordinates:
Dy  0.0000  0.0000  0.0000 (multiplicity 4)  4 Tc 2.99, 4 Mg 2.99
Hf  0.0000  0.0000  0.5000 (multiplicity 4)  4 Mg 2.99, 4 Tc 2.99
Mg  0.2500  0.2500  0.2500 (multiplicity 4)  4 Hf 2.99, 4 Dy 2.99
Tc  0.2500  0.2500  0.7500 (multiplicity 4)  4 Hf 2.99, 4 Dy 2.99

---

No. 12
Here is crystalline DyHfThMg at its relaxed geometry from Alexandria. Energies are from PBE.

The density of states at the Fermi level comes out at 1.928 states/eV per atom. As for the spin magnetization: 0.004 μB/cell. The formation energy comes out at 0.57 eV/f.u.

abc: 7.5452 7.5452 7.5452
angles: 90.00 90.00 90.00
With the nearest neighbours (Å) after each atom.
Space group F-43m (No. 216)
Inequivalent atoms, fractional coordinates:
Dy  0.0000  0.0000  0.0000 (multiplicity 4)  4 Mg 3.27, 4 Hf 3.27
Hf  0.2500  0.2500  0.2500 (multiplicity 4)  4 Dy 3.27, 4 Th 3.27
Th  0.0000  0.0000  0.5000 (multiplicity 4)  4 Hf 3.27, 4 Mg 3.27
Mg  0.2500  0.2500  0.7500 (multiplicity 4)  4 Th 3.27, 4 Dy 3.27

---

No. 13
Here is crystalline DyHfMgZn at its relaxed geometry from Alexandria. Energies are from PBE.

The density of states at the Fermi level comes out at 1.036 states/eV per atom. As for the spin magnetization: 0.000 μB/cell. The formation energy comes out at -0.01 eV/f.u.

abc: 7.0408 7.0408 7.0408
angles: 90.00 90.00 90.00
With the nearest neighbours (Å) after each atom.
Space group F-43m (No. 216)
Inequivalent atoms, fractional coordinates:
Dy  0.0000  0.0000  0.0000 (multiplicity 4)  4 Mg 3.05, 4 Zn 3.05
Hf  0.0000  0.0000  0.5000 (multiplicity 4)  4 Mg 3.05, 4 Zn 3.05
Mg  0.2500  0.2500  0.2500 (multiplicity 4)  4 Hf 3.05, 4 Dy 3.05
Zn  0.2500  0.2500  0.7500 (multiplicity 4)  4 Hf 3.05, 4 Dy 3.05

---

No. 14
Here is crystalline DyHfMn at its relaxed geometry from Alexandria. Energies are from PBE.

The density of states at the Fermi level comes out at 1.109 states/eV per atom. As for the spin magnetization: 0.002 μB/cell. The formation energy comes out at 0.38 eV/f.u.

abc: 6.4595 11.6013 7.1360
angles: 90.00 90.00 90.00
With the nearest neighbours (Å) after each atom.
Space group Cmce (No. 64)
Inequivalent atoms, fractional coordinates:
Dy  0.0000  0.1944  0.1051 (multiplicity 8)  2 Mn 2.75-2.83
Hf  0.2500  0.0396  0.7500 (multiplicity 8)  4 Mn 2.64-2.68
Mn  0.0000  0.0859  0.4607 (multiplicity 8)  1 Mn 2.07

---

No. 15
Here is crystalline DyHfMn4 at its relaxed geometry from Alexandria. Energies are from PBE.

The density of states at the Fermi level comes out at 1.230 states/eV per atom. As for the spin magnetization: 9.291 μB/cell. The formation energy comes out at -0.12 eV/f.u.

abc: 7.0908 7.0908 7.0908
angles: 90.00 90.00 90.00
With the nearest neighbours (Å) after each atom.
Space group F-43m (No. 216)
Inequivalent atoms, fractional coordinates:
Dy  0.0000  0.0000  0.0000 (multiplicity 4)  12 Mn 2.94, 4 Hf 3.07
Hf  0.2500  0.2500  0.2500 (multiplicity 4)  12 Mn 2.94, 4 Dy 3.07
Mn  0.1244  0.1244  0.6244 (multiplicity 16)  6 Mn 2.50-2.52

---

No. 16
Here is crystalline DyHfMo at its relaxed geometry from Alexandria. Energies are from PBE.

The density of states at the Fermi level comes out at 1.436 states/eV per atom. As for the spin magnetization: 1.161 μB/cell. The formation energy comes out at 0.32 eV/f.u.

abc: 3.2238 3.2238 26.9255
angles: 90.00 90.00 90.00
With the nearest neighbours (Å) after each atom.
Space group I4/mmm (No. 139)
Inequivalent atoms, fractional coordinates:
Dy  0.0000  0.0000  0.0646 (multiplicity 4)  5 Dy 3.22-3.48, 4 Hf 3.35
Hf  0.0000  0.0000  0.3442 (multiplicity 4)  4 Mo 2.91, 4 Hf 3.22
Mo  0.0000  0.0000  0.2229 (multiplicity 4)  4 Mo 2.71, 4 Hf 2.91

---

No. 17
Here is crystalline Dy2HfN3 at its relaxed geometry from Alexandria. Energies are from PBE.

The density of states at the Fermi level comes out at 0.170 states/eV per atom. As for the spin magnetization: 0.000 μB/cell. The calculation puts the formation energy without anion corrections at -10.52 eV/f.u.

abc: 3.3530 4.7703 10.1627
angles: 90.00 90.00 90.00
With the nearest neighbours (Å) after each atom.
Space group Immm (No. 71)
Inequivalent atoms, fractional coordinates:
Dy  0.0000  0.0000  0.1668 (multiplicity 4)  6 N 2.38-2.49
Hf  0.0000  0.0000  0.5000 (multiplicity 2)  6 N 2.28-2.39
N  0.0000  0.5000  0.1516 (multiplicity 4)  2 Hf 2.28, 4 Dy 2.39-2.49
N  0.0000  0.5000  0.5000 (multiplicity 2)  4 Dy 2.38, 2 Hf 2.39

---

No. 18
Here is crystalline Dy3HfN4 at its relaxed geometry from Alexandria. Energies are from PBE.

The density of states at the Fermi level comes out at 0.133 states/eV per atom. The calculation puts the energy above the most stable polymorph in this dataset at 0.00 eV/f.u. As for the spin magnetization: 0.000 μB/cell. The calculation puts the formation energy without anion corrections at -14.05 eV/f.u.

abc: 6.8110 9.5880 3.3856
angles: 90.00 90.00 90.00
With the nearest neighbours (Å) after each atom.
Space group Cmmm (No. 65)
Inequivalent atoms, fractional coordinates:
Dy  0.0000  0.0000  0.0000 (multiplicity 2)  6 N 2.49-2.50
Dy  0.2500  0.2500  0.5000 (multiplicity 4)  6 N 2.40
Hf  0.0000  0.5000  0.0000 (multiplicity 2)  6 N 2.29-2.32
N  0.0000  0.2607  0.0000 (multiplicity 4)  1 Hf 2.29, 5 Dy 2.40-2.50
N  0.2326  0.5000  0.5000 (multiplicity 4)  2 Hf 2.32, 4 Dy 2.40-2.49

---

No. 19
Here is crystalline DyHf3N at its relaxed geometry from Alexandria. Energies are from PBE.

The density of states at the Fermi level comes out at 0.858 states/eV per atom. As for the spin magnetization: 0.000 μB/cell. The calculation puts the formation energy without anion corrections at -2.77 eV/f.u.

abc: 4.5901 4.5901 4.5901
angles: 90.00 90.00 90.00
With the nearest neighbours (Å) after each atom.
Space group Pm-3m (No. 221)
Inequivalent atoms, fractional coordinates:
Dy  0.0000  0.0000  0.0000 (multiplicity 1)  12 Hf 3.25
Hf  0.0000  0.5000  0.5000 (multiplicity 3)  2 N 2.30
N  0.5000  0.5000  0.5000 (multiplicity 1)  6 Hf 2.30

---

No. 20
Here is crystalline Dy2Hf2N3 at its relaxed geometry from Alexandria. Energies are from PBE.

The density of states at the Fermi level comes out at 0.293 states/eV per atom. As for the spin magnetization: 0.000 μB/cell. The calculation puts the formation energy without anion corrections at -10.64 eV/f.u.

abc: 11.4701 3.3754 5.7319
angles: 90.00 105.82 90.00
With the nearest neighbours (Å) after each atom.
Space group C2/m (No. 12)
Inequivalent atoms, fractional coordinates:
Dy  0.1193  0.0000  0.3521 (multiplicity 4)  5 N 2.42-2.48
Hf  0.1402  0.5000  0.8492 (multiplicity 4)  4 N 2.20-2.24
N  0.0000  0.5000  0.5000 (multiplicity 2)  2 Hf 2.20
N  0.2479  0.0000  0.7632 (multiplicity 4)  3 Hf 2.22-2.24, 3 Dy 2.42-2.48